5
Lattice="6.0431 0.0000 0.0000 0.0000 6.0431 0.0000 0.0000 0.0000 6.0431" Properties=species:S:1:pos:R:3 comment="Ca4Sm, relaxed, DFT PBE" vol_a3_per_atom=44.14 m_tot_mub_per_cell=1.250 dft_energy_ev_per_atom=-1.90 polymorph_energy_ev_per_atom=0.327 pbc="T T T"
Ca 0.0000 0.0000 0.0000
Ca 0.0000 3.0215 3.0215
Ca 3.0215 0.0000 3.0215
Ca 3.0215 3.0215 0.0000
Sm 3.0215 3.0215 3.0215